# KLa2As

A relaxed KLa2As crystal (PBE, the Alexandria database).

Calculated values
- formation energy (eV/atom) = -0.3373
- crystal system = monoclinic
- M_tot (μB/f.u.) = 1.5

a = 10.594 Å, b = 4.049 Å, c = 8.257 Å
α = 90.00°, β = 109.74°, γ = 90.00°
Space group Cm (No. 8)
Unique sites:
K 0.000 0.000 0.000
La 0.167 0.000 0.630
La 0.355 0.000 0.353
As 0.142 0.500 0.358